Record 1
{"formula": "Na2FePdI", "functional": "GGA-PBE", "state": "optimized geometry", "raw_formation_energy_ev_per_fu": 0.880, "crystal_system": "tetragonal", "lattice": [[5.5441, 0.0000, 0.0000], [0.0000, 5.5441, 0.0000], [0.0000, 0.0000, 4.7697]], "species": ["Na", "Na", "Fe", "Pd", "I"], "fractional_positions": [[0.0000, 0.5000, 0.0000], [0.5000, 0.0000, 0.0000], [0.0000, 0.0000, 0.5000], [0.0000, 0.0000, 0.0000], [0.5000, 0.5000, 0.5000]]}

Record 2
{"formula": "RbNaFeI5", "functional": "GGA-PBE", "state": "optimized geometry", "raw_formation_energy_ev_per_fu": -6.058, "crystal_system": "monoclinic", "lattice": [[5.4482, -7.0369, 0.0000], [5.4482, 7.0369, 0.0000], [-4.3231, 0.0000, 9.8432]], "species": ["Rb", "Rb", "Na", "Na", "Fe", "Fe", "I", "I", "I", "I", "I", "I", "I", "I", "I", "I"], "fractional_positions": [[0.1605, 0.8395, 0.7500], [0.8395, 0.1605, 0.2500], [0.5000, 0.5000, 0.0000], [0.5000, 0.5000, 0.5000], [0.1696, 0.8304, 0.2500], [0.8304, 0.1696, 0.7500], [0.1042, 0.2339, 0.9361], [0.1557, 0.6082, 0.3640], [0.2339, 0.1042, 0.4361], [0.3918, 0.8443, 0.1360], [0.4124, 0.5876, 0.7500], [0.5876, 0.4124, 0.2500], [0.6082, 0.1557, 0.8640], [0.7661, 0.8958, 0.5639], [0.8443, 0.3918, 0.6360], [0.8958, 0.7661, 0.0639]]}

Record 3
{"formula": "RbNaFeI4", "functional": "GGA-PBE", "state": "optimized geometry", "raw_formation_energy_ev_per_fu": -5.704, "crystal_system": "monoclinic", "lattice": [[7.6068, 0.0000, 0.0000], [0.0000, 8.2689, 0.0000], [-2.9898, 0.0000, 9.3874]], "species": ["Rb", "Rb", "Na", "Na", "Fe", "Fe", "I", "I", "I", "I", "I", "I", "I", "I"], "fractional_positions": [[0.2355, 0.2500, 0.0594], [0.7645, 0.7500, 0.9406], [0.2292, 0.2500, 0.5610], [0.7708, 0.7500, 0.4390], [0.2213, 0.7500, 0.3194], [0.7787, 0.2500, 0.6806], [0.0063, 0.0011, 0.7234], [0.0063, 0.4989, 0.7234], [0.4090, 0.7500, 0.1354], [0.4450, 0.7500, 0.5784], [0.5550, 0.2500, 0.4216], [0.5910, 0.2500, 0.8646], [0.9937, 0.5011, 0.2766], [0.9937, 0.9989, 0.2766]]}

Record 4
{"formula": "NaFeRu2I", "functional": "GGA-PBE", "state": "optimized geometry", "raw_formation_energy_ev_per_fu": 8.610, "crystal_system": "tetragonal", "lattice": [[4.8744, 0.0000, 0.0000], [0.0000, 4.8744, 0.0000], [0.0000, 0.0000, 5.1826]], "species": ["Na", "Fe", "Ru", "Ru", "I"], "fractional_positions": [[0.0000, 0.0000, 0.0000], [0.5000, 0.5000, 0.0000], [0.0000, 0.5000, 0.5000], [0.5000, 0.0000, 0.5000], [0.0000, 0.0000, 0.5000]]}